No. 1
LaTmSb2: relaxed, PBE.

Geometry as POSCAR:
```
LaTmSb2
1.0
-2.064 -3.457 1.993
2.311 -3.719 1.006
1.721 0.394 7.530
Sb Tm La
2 1 1
Cartesian
0.464 -1.743 2.522
1.503 -5.040 8.007
0.000 0.000 0.000
0.984 -3.391 5.265
```

Values from the calculation:
Energy relative to the elements, uncorrected   -1166 meV/atom
ΔE to the lowest computed polymorph   0.0000 eV/atom
SG   R-3m, No. 166


No. 2
MgCuAgRh: relaxed, PBE.

Geometry as POSCAR:
```
MgCuAgRh
1.0
-0.929 4.292 -0.298
-1.041 1.761 -3.897
-4.127 1.308 -0.791
Mg Rh Cu Ag
1 1 1 1
Cartesian
-4.573 5.521 -3.739
0.000 0.000 0.000
-1.524 1.840 -1.246
-3.049 3.681 -2.493
```

Values from the calculation:
Formation enthalpy at 0 K   -0.1595 eV/atom
SG   F-43m, No. 216


No. 3
Ti8Zn3Ga2: relaxed, PBE.

Geometry as POSCAR:
```
Ti8Zn3Ga2
1.0
-1.459 3.969 1.221
-2.904 0.788 -6.032
-4.898 -3.346 5.023
Ti Zn Ga
8 3 2
Cartesian
-5.003 3.225 -0.596
-4.258 -1.814 0.808
-1.511 -0.653 0.318
-7.749 2.065 -0.106
-6.582 -0.423 1.441
-4.573 -0.261 3.317
-4.688 1.672 -3.105
-2.679 1.834 -1.229
-0.730 1.985 0.611
-6.910 1.060 4.162
-2.351 0.351 -3.950
-3.696 0.777 0.992
-5.565 0.634 -0.780
```

Values from the calculation:
Formation enthalpy at 0 K   -0.1330 eV/atom
SG   P2/m, No. 10


No. 4
Zr2Ga3Os: relaxed, PBE.

Geometry as POSCAR:
```
Zr2Ga3Os
1.0
-2.651 -4.526 -0.431
4.970 0.313 -1.702
1.507 1.729 4.714
Zr Ga Os
2 3 1
Cartesian
0.043 -3.041 -0.436
3.784 0.556 3.017
1.914 -1.242 1.291
0.754 0.864 2.357
-0.572 -1.399 2.142
0.000 0.000 0.000
```

Values from the calculation:
Formation enthalpy at 0 K   -0.4780 eV/atom
SG   R-3m, No. 166


No. 5
Pr5YHg6: relaxed, PBE.

Geometry as POSCAR:
```
Pr5YHg6
1.0
5.135 -0.031 1.721
0.042 7.717 0.014
0.004 -0.015 8.596
Pr Y Hg
5 1 6
Cartesian
3.458 3.828 6.851
1.712 -0.015 3.440
0.021 3.859 0.007
3.426 -0.031 6.877
1.722 3.843 3.479
0.000 0.000 0.000
4.334 5.796 4.243
4.312 1.860 4.236
2.578 1.845 0.864
2.599 5.842 0.871
0.868 5.811 6.095
0.847 1.875 6.088
```

Values from the calculation:
Formation enthalpy at 0 K   -0.4743 eV/atom
SG   P2/m, No. 10


No. 6
Sr2Sb3Au5: relaxed, PBE.

Geometry as POSCAR:
```
Sr2Sb3Au5
1.0
6.205 0.000 2.348
2.675 8.714 2.303
-0.010 -0.152 9.400
Sr Sb Au
4 6 10
Cartesian
2.415 5.234 2.990
4.269 1.111 7.465
6.455 3.328 11.060
4.601 7.451 6.586
3.633 4.376 9.144
7.381 6.505 8.614
5.237 4.186 4.906
1.490 2.057 5.437
1.551 0.000 0.587
4.654 0.000 1.761
3.104 2.176 10.544
8.068 8.323 6.797
5.766 6.386 3.507
0.802 0.239 7.254
5.027 6.601 10.147
3.843 1.961 3.903
5.986 4.281 7.612
2.884 4.281 6.438
0.741 1.961 2.730
8.130 6.601 11.321
```

Values from the calculation:
Energy relative to the elements, uncorrected   -521 meV/atom
SG   Ibam, No. 72


Number 1: D(E_F) 0.59 states/eV/f.u.. Number 2: D(E_F) 1.51 states/eV/f.u.. Number 3: D(E_F) 14.41 states/eV/f.u.. Number 4: D(E_F) 5.49 states/eV/f.u.. Number 5: D(E_F) 13.13 states/eV/f.u.. Number 6: D(E_F) 4.06 states/eV/f.u..